The following is a DFT calculation (PBE) of a relaxed structure of Na2PtAu.

Structure (POSCAR):
```
Na2PtAu
1.0
4.063 0.000 0.000
0.000 4.063 0.000
0.000 0.000 4.510
Na Pt Au
2 1 1
Direct
0.000 0.500 0.000 Na
0.500 0.000 0.000 Na
0.000 0.000 0.500 Pt
0.500 0.500 0.500 Au
```

Values from the calculation:
Energy in eV/atom: -3.185
ΔH_f (0 K) in eV/atom: -0.196
Calculated volume in Å³ per cell: 74.46
Total moment in μB/f.u.: 0.00
Relative energy among the computed polymorphs in meV per atom: 47

---

The following is a DFT calculation (PBE) of a relaxed structure of Na2PtAu.

Structure (POSCAR):
```
Na2PtAu
1.0
-4.063 4.063 2.769
4.063 -4.063 2.769
4.063 4.063 -2.769
Na Pt Au
4 2 2
Direct
0.120 0.625 0.995 Na
0.375 0.370 0.495 Na
0.630 0.125 0.005 Na
0.875 0.880 0.505 Na
0.000 0.000 0.000 Pt
0.750 0.250 0.500 Pt
0.250 0.750 0.500 Au
0.500 0.500 0.000 Au
```

Values from the calculation:
Energy in eV/atom: -3.002
ΔH_f (0 K) in eV/atom: -0.013
Calculated volume in Å³ per cell: 182.83
Total moment in μB/f.u.: 0.00
Relative energy among the computed polymorphs in meV per atom: 230

---

The following is a DFT calculation (PBE) of a relaxed structure of Na2PtAu.

Structure (POSCAR):
```
Na2PtAu
1.0
0.000 3.376 3.376
3.376 0.000 3.376
3.376 3.376 0.000
Na Pt Au
2 1 1
Direct
0.250 0.250 0.250 Na
0.750 0.750 0.750 Na
0.000 0.000 0.000 Pt
0.500 0.500 0.500 Au
```

Values from the calculation:
Energy in eV/atom: -3.007
ΔH_f (0 K) in eV/atom: -0.018
Calculated volume in Å³ per cell: 76.98
Total moment in μB/f.u.: 0.00
Relative energy among the computed polymorphs in meV per atom: 226

---

The following is a DFT calculation (PBE) of a relaxed structure of Na2PtAu.

Structure (POSCAR):
```
Na2PtAu
1.0
1.449 0.836 10.494
-1.449 0.836 10.494
0.000 -1.673 10.494
Na Pt Au
2 1 1
Direct
0.086 0.086 0.086 Na
0.914 0.914 0.914 Na
0.000 0.000 0.000 Pt
0.500 0.500 0.500 Au
```

Values from the calculation:
Energy in eV/atom: -2.981
ΔH_f (0 K) in eV/atom: 0.008
Calculated volume in Å³ per cell: 76.28
Total moment in μB/f.u.: 0.00
Relative energy among the computed polymorphs in meV per atom: 251

---

The following is a DFT calculation (PBE) of a relaxed structure of Na4PtAu.

Structure (POSCAR):
```
Na4PtAu
1.0
-3.600 3.600 5.677
3.600 -3.600 5.677
3.600 3.600 -5.677
Na Pt Au
8 2 2
Direct
0.043 0.543 0.856 Na
0.187 0.043 0.500 Na
0.313 0.813 0.856 Na
0.457 0.313 0.500 Na
0.543 0.687 0.500 Na
0.687 0.187 0.144 Na
0.813 0.957 0.500 Na
0.957 0.457 0.144 Na
0.250 0.250 0.000 Pt
0.750 0.750 0.000 Pt
0.000 0.000 0.000 Au
0.500 0.500 0.000 Au
```

Values from the calculation:
Energy in eV/atom: -2.639
ΔH_f (0 K) in eV/atom: -0.206
Calculated volume in Å³ per cell: 294.20
Total moment in μB/f.u.: 0.00

---

The following is a DFT calculation (PBE) of a relaxed structure of Na12PtAu6.

Structure (POSCAR):
```
Na12PtAu6
1.0
-4.910 4.910 4.910
4.910 -4.910 4.910
4.910 4.910 -4.910
Na Pt Au
12 1 6
Direct
0.102 0.275 0.827 Na
0.173 0.448 0.275 Na
0.173 0.898 0.725 Na
0.275 0.173 0.448 Na
0.275 0.827 0.102 Na
0.448 0.275 0.173 Na
0.552 0.725 0.827 Na
0.725 0.173 0.898 Na
0.725 0.827 0.552 Na
0.827 0.102 0.275 Na
0.827 0.552 0.725 Na
0.898 0.725 0.173 Na
0.000 0.000 0.000 Pt
0.142 0.500 0.642 Au
0.358 0.858 0.500 Au
0.500 0.358 0.858 Au
0.500 0.642 0.142 Au
0.642 0.142 0.500 Au
0.858 0.500 0.358 Au
```

Values from the calculation:
Energy in eV/atom: -2.360
ΔH_f (0 K) in eV/atom: -0.174
Calculated volume in Å³ per cell: 473.35
Total moment in μB/f.u.: 0.00

---

The following is a DFT calculation (PBE) of a relaxed structure of NaPt4Au.

Structure (POSCAR):
```
NaPt4Au
1.0
0.000 3.762 3.762
3.762 0.000 3.762
3.762 3.762 0.000
Na Pt Au
1 4 1
Direct
0.000 0.000 0.000 Na
0.125 0.625 0.625 Pt
0.625 0.125 0.625 Pt
0.625 0.625 0.125 Pt
0.625 0.625 0.625 Pt
0.250 0.250 0.250 Au
```

Values from the calculation:
Energy in eV/atom: -4.876
ΔH_f (0 K) in eV/atom: -0.082
Calculated volume in Å³ per cell: 106.50
Total moment in μB/f.u.: 0.00

---

The following is a DFT calculation (PBE) of a relaxed structure of Na8PtAu2.

Structure (POSCAR):
```
Na8PtAu2
1.0
-2.432 3.866 7.163
2.432 -3.866 7.163
2.432 3.866 -7.163
Na Pt Au
8 1 2
Direct
0.122 0.350 0.772 Na
0.150 0.150 0.000 Na
0.289 0.000 0.289 Na
0.423 0.650 0.772 Na
0.577 0.350 0.228 Na
0.711 0.000 0.711 Na
0.850 0.850 0.000 Na
0.878 0.650 0.228 Na
0.000 0.500 0.500 Pt
0.310 0.810 0.500 Au
0.690 0.190 0.500 Au
```

Values from the calculation:
Energy in eV/atom: -2.268
ΔH_f (0 K) in eV/atom: -0.163
Calculated volume in Å³ per cell: 269.44
Total moment in μB/f.u.: 0.00

---

The following is a DFT calculation (PBE) of a relaxed structure of NaPt2Au2.

Structure (POSCAR):
```
NaPt2Au2
1.0
-1.910 1.910 6.788
1.910 -1.910 6.788
1.910 1.910 -6.788
Na Pt Au
1 2 2
Direct
0.000 0.000 0.000 Na
0.250 0.750 0.500 Pt
0.750 0.250 0.500 Pt
0.402 0.402 0.000 Au
0.598 0.598 0.000 Au
```

Values from the calculation:
Energy in eV/atom: -3.953
ΔH_f (0 K) in eV/atom: 0.039
Calculated volume in Å³ per cell: 99.03
Total moment in μB/f.u.: 0.00
Relative energy among the computed polymorphs in meV per atom: 131

---

The following is a DFT calculation (PBE) of a relaxed structure of NaPtAu3.

Structure (POSCAR):
```
NaPtAu3
1.0
5.141 0.000 0.000
0.000 5.141 0.000
0.000 0.000 5.141
Na Pt Au
1 1 3
Direct
0.000 0.000 0.000 Na
0.500 0.500 0.500 Pt
0.000 0.500 0.500 Au
0.500 0.000 0.500 Au
0.500 0.500 0.000 Au
```

Values from the calculation:
Energy in eV/atom: -3.171
ΔH_f (0 K) in eV/atom: 0.268
Calculated volume in Å³ per cell: 135.90
Total moment in μB/f.u.: 0.00
Relative energy among the computed polymorphs in meV per atom: 0

---

The following is a DFT calculation (PBE) of a relaxed structure of NaPt2Au2.

Structure (POSCAR):
```
NaPt2Au2
1.0
-2.264 2.264 5.311
2.264 -2.264 5.311
2.264 2.264 -5.311
Na Pt Au
1 2 2
Direct
0.000 0.000 0.000 Na
0.385 0.385 0.000 Pt
0.615 0.615 0.000 Pt
0.250 0.750 0.500 Au
0.750 0.250 0.500 Au
```

Values from the calculation:
Energy in eV/atom: -3.859
ΔH_f (0 K) in eV/atom: 0.132
Calculated volume in Å³ per cell: 108.94
Total moment in μB/f.u.: 0.00
Relative energy among the computed polymorphs in meV per atom: 225

---

The following is a DFT calculation (PBE) of a relaxed structure of Na2PtAu2.

Structure (POSCAR):
```
Na2PtAu2
1.0
6.901 0.000 0.000
0.000 6.901 0.000
0.000 0.000 4.524
Na Pt Au
4 2 4
Direct
0.174 0.326 0.000 Na
0.326 0.826 0.000 Na
0.674 0.174 0.000 Na
0.826 0.674 0.000 Na
0.000 0.000 0.500 Pt
0.500 0.500 0.500 Pt
0.140 0.640 0.500 Au
0.360 0.140 0.500 Au
0.640 0.860 0.500 Au
0.860 0.360 0.500 Au
```

Values from the calculation:
Energy in eV/atom: -3.237
ΔH_f (0 K) in eV/atom: -0.190
Calculated volume in Å³ per cell: 215.44
Total moment in μB/f.u.: 0.00

---

Looking at calculated density for the records above, in order, we have 9.768, 7.957, 9.449, 9.536, 5.464, 5.798, 15.597, 4.764, 13.533, 9.885, 12.303, 9.789 Mg/m³.